1.
Below is an optimized crystal structure of NaErZr, with properties calculated at the PBE-GGA level.

For the volume, the calculation gives 174.7 Å³/cell. The final energy is -0.3295 Ry per atom.

a b c (Å): 6.3864 6.3864 9.9335
angles (deg): 62.92 62.92 29.25
Last column: nearest neighbours and their distance in Å.
Atoms (fractional coordinates):
Zr 0.2224 0.2224 0.5187  4 Zr 3.07-3.22, 4 Er 3.10-3.39
Er 0.2471 0.2471 0.8156  4 Zr 3.10-3.39, 3 Er 3.22-3.30, 1 Na 3.43
Er 0.5061 0.5061 0.4918  4 Zr 3.10-3.39, 3 Er 3.22-3.30, 1 Na 3.43
Zr 0.5310 0.5310 0.7886  4 Zr 3.07-3.22, 4 Er 3.10-3.39
Na 0.9923 0.9923 0.1670  3 Na 3.00-3.22
Na 0.7606 0.7606 0.1403  3 Na 3.00-3.22



2.
Below is an optimized crystal structure of DyTm6Fe2, with properties calculated at the PBE-GGA level.

For the volume, the calculation gives 456.1 Å³/cell. The final energy is -0.3932 Ry per atom.

a b c (Å): 8.4021 8.4021 8.4021
angles (deg): 107.67 111.45 109.32
Last column: nearest neighbours and their distance in Å.
Atoms (fractional coordinates):
Tm 0.6829 0.6780 0.3609  1 Fe 2.73
Tm 0.5302 0.8132 0.7169  3 Fe 2.93-2.95, 1 Dy 3.24
Dy 0.0000 0.0000 0.0000  2 Fe 3.00, 8 Tm 3.20-3.24
Tm 0.7830 0.0251 0.2421  1 Fe 2.56
Dy 0.0000 0.5000 0.5000  12 Tm 3.32-3.67
Tm 0.2170 0.9749 0.7579  1 Fe 2.56
Fe 0.6917 0.6917 0.0000  2 Tm 2.56
Fe 0.5000 0.8908 0.3908  1 Fe 2.17
Tm 0.2170 0.4591 0.2421  1 Fe 2.56
Tm 0.3171 0.3220 0.6391  1 Fe 2.73
Tm 0.3171 0.6780 0.9952  1 Fe 2.73
Tm 0.6829 0.3220 0.0048  1 Fe 2.73
Fe 0.5000 0.1092 0.6092  1 Fe 2.17
Fe 0.3083 0.3083 0.0000  2 Tm 2.56
Tm 0.7830 0.5409 0.7579  1 Fe 2.56
Tm 0.9037 0.1868 0.7169  3 Fe 2.93-2.95, 1 Dy 3.24
Tm 0.0963 0.8132 0.2831  3 Fe 2.93-2.95, 1 Dy 3.24
Tm 0.4698 0.1868 0.2831  3 Fe 2.93-2.95, 1 Dy 3.24



3.
Below is an optimized crystal structure of La2NiAgH, with properties calculated at the PBE-GGA level.

For the volume, the calculation gives 102.8 Å³/cell. The final energy is -0.3426 Ry per atom.

a b c (Å): 5.3035 5.3035 3.6564
angles (deg): 90.00 90.00 90.00
Last column: nearest neighbours and their distance in Å.
Atoms (fractional coordinates):
H 0.0000 0.0000 0.0000  2 Ni 1.83
Ni 0.0000 0.0000 0.5000  2 H 1.83
La 0.0000 0.5000 0.0000  2 H 2.65
Ag 0.5000 0.5000 0.5000  8 La 3.22
La 0.5000 0.0000 0.0000  2 H 2.65



4.
Below is an optimized crystal structure of LaReRh4, with properties calculated at the PBE-GGA level.

For the volume, the calculation gives 103.7 Å³/cell. The final energy is -0.5627 Ry per atom.

a b c (Å): 5.2731 5.2731 5.2731
angles (deg): 60.00 60.00 60.00
Last column: nearest neighbours and their distance in Å.
Atoms (fractional coordinates):
Re 0.0000 0.0000 0.0000  12 Rh 3.09, 4 La 3.23
Rh 0.3740 0.3740 0.8779  6 Rh 2.62-2.66
Rh 0.3740 0.3740 0.3740  6 Rh 2.62-2.66
Rh 0.3740 0.8779 0.3740  6 Rh 2.62-2.66
Rh 0.8779 0.3740 0.3740  6 Rh 2.62-2.66
La 0.7500 0.7500 0.7500  12 Rh 3.09, 4 Re 3.23



5.
Below is an optimized crystal structure of CdAg2Au, with properties calculated at the PBE-GGA level.

For the volume, the calculation gives 74.8 Å³/cell. The final energy is -0.1854 Ry per atom.

a b c (Å): 3.5080 3.5080 6.0746
angles (deg): 90.00 90.00 90.00
Last column: nearest neighbours and their distance in Å.
Atoms (fractional coordinates):
Cd 0.5000 0.5000 0.5000  8 Ag 2.92, 2 Au 3.04
Ag 0.0000 0.0000 0.7547  4 Au 2.89, 4 Cd 2.92, 2 Ag 2.98-3.09
Ag 0.0000 0.0000 0.2453  4 Au 2.89, 4 Cd 2.92, 2 Ag 2.98-3.09
Au 0.5000 0.5000 0.0000  8 Ag 2.89, 2 Cd 3.04



6.
Below is an optimized crystal structure of Ru2W, with properties calculated at the PBE-GGA level.

For the volume, the calculation gives 191.7 Å³/cell. The final energy is -0.7412 Ry per atom.

a b c (Å): 2.7395 4.1054 17.0419
angles (deg): 90.00 90.00 90.00
Last column: nearest neighbours and their distance in Å.
Atoms (fractional coordinates):
Ru 0.0000 0.2500 0.0370  3 Ru 2.41-2.56
Ru 0.0000 0.7500 0.9630  3 Ru 2.41-2.56
Ru 0.5000 0.2500 0.3130  5 Ru 2.55-2.74, 4 W 2.74
Ru 0.0000 0.7500 0.8130  5 Ru 2.55-2.74, 4 W 2.74
Ru 0.0000 0.2500 0.1870  5 Ru 2.55-2.74, 4 W 2.74
Ru 0.5000 0.7500 0.5370  3 Ru 2.41-2.56
Ru 0.5000 0.2500 0.4630  3 Ru 2.41-2.56
W 0.5000 0.2500 0.8825  10 Ru 2.74-2.97, 2 W 2.74
Ru 0.5000 0.7500 0.6870  5 Ru 2.55-2.74, 4 W 2.74
W 0.0000 0.7500 0.3825  10 Ru 2.74-2.97, 2 W 2.74
W 0.5000 0.7500 0.1175  10 Ru 2.74-2.97, 2 W 2.74
W 0.0000 0.2500 0.6175  10 Ru 2.74-2.97, 2 W 2.74